# CrGa2

An optimized crystal structure of CrGa2 (GGA-PBEsol, Alexandria via LeMat-Bulk).

Cell: 4.2999 4.2999 2.5580 Å, 90.00 90.00 90.00°
Space group P4/mmm (No. 123)
Symmetry-distinct sites (fractional):
1 Cr 0.0000 0.0000 0.0000
2 Ga 0.0000 0.5000 0.5000

Values from the calculation:
ΔH_f (0 K)   -0.3 eV per formula unit
Volume   15.8 Å³ per atom
Uncorrected energy   -5.73 eV/atom
Total magnetization   0.23 μB per formula unit